1.
This record from Alexandria via LeMat-Bulk describes a geometry-optimized KCuW2 structure. The functional is PBE.

Cell: 2.6759 3.9015 8.2029 Å, 90.00 90.00 90.00°
Sites, in units of the cell vectors:
W1 0.0000 0.0000 0.0867
W2 0.5000 0.5000 0.2640
K1 0.5000 0.5000 0.7294
Cu1 0.0000 0.0000 0.4200

The magnetic moment is 0.00 μB per formula unit. For the calculated volume, the calculation gives 21.4 A^3/atom. For the formation energy, the calculation gives 877 meV per atom. The value obtained for the energy above the most stable polymorph in this dataset is 127 meV per atom.

2.
This record from Alexandria via LeMat-Bulk describes a geometry-optimized CuPC3 structure. The functional is PBE.

Cell: 3.8488 3.8488 3.8488 Å, 90.00 90.00 90.00°
Sites, in units of the cell vectors:
C1 0.0000 0.0000 0.5000
C2 0.0000 0.5000 0.0000
P1 0.5000 0.5000 0.5000
Cu1 0.0000 0.0000 0.0000
C3 0.5000 0.0000 0.0000

The magnetic moment is 0.00 μB per formula unit. For the calculated volume, the calculation gives 11.4 A^3/atom. For the formation energy, the calculation gives 2951 meV per atom. The value obtained for the energy above the most stable polymorph in this dataset is 882 meV per atom.

3.
This record from Alexandria via LeMat-Bulk describes a geometry-optimized ScGa4CoRu2 structure. The functional is PBE.

Cell: 4.2939 4.2939 7.6567 Å, 73.72 73.72 60.00°
Sites, in units of the cell vectors:
Ru1 0.7499 0.7499 0.7502
Ga1 0.1321 0.1321 0.6038
Ga2 0.8679 0.8679 0.3962
Co1 0.5000 0.5000 0.5000
Ga3 0.3859 0.3859 0.8423
Ga4 0.6141 0.6141 0.1577
Sc1 0.0000 0.0000 0.0000
Ru2 0.2501 0.2501 0.2498

The magnetic moment is 0.00 μB per formula unit. For the calculated volume, the calculation gives 14.5 A^3/atom. For the formation energy, the calculation gives -384 meV per atom.

4.
This record from Alexandria via LeMat-Bulk describes a geometry-optimized Ce2TlIr structure. The functional is PBE.

Cell: 4.0279 4.0279 8.5598 Å, 76.39 76.39 60.00°
Sites, in units of the cell vectors:
Ce1 0.0640 0.0640 0.8080
Tl1 0.4991 0.4991 0.5026
Ce2 0.2694 0.2694 0.1918
Ir1 0.6675 0.6675 0.9976

The magnetic moment is 1.29 μB per formula unit. For the calculated volume, the calculation gives 28.9 A^3/atom. For the formation energy, the calculation gives -447 meV per atom. The value obtained for the energy above the most stable polymorph in this dataset is 31 meV per atom.

5.
This record from Alexandria via LeMat-Bulk describes a geometry-optimized ScNiBOs2 structure. The functional is PBE.

Cell: 4.1540 4.1540 3.8887 Å, 90.00 90.00 90.00°
Sites, in units of the cell vectors:
Os1 0.0000 0.5000 0.0000
Ni1 0.0000 0.0000 0.5000
B1 0.0000 0.0000 0.0000
Os2 0.5000 0.0000 0.0000
Sc1 0.5000 0.5000 0.5000

The magnetic moment is 0.00 μB per formula unit. For the calculated volume, the calculation gives 13.4 A^3/atom. For the formation energy, the calculation gives -274 meV per atom.

6.
This record from Alexandria via LeMat-Bulk describes a geometry-optimized SrScBr2 structure. The functional is PBE.

Cell: 5.3286 5.3286 5.3286 Å, 60.00 60.00 60.00°
Sites, in units of the cell vectors:
Sc1 0.0000 0.0000 0.0000
Sr1 0.5000 0.5000 0.5000
Br1 0.2500 0.2500 0.2500
Br2 0.7500 0.7500 0.7500

The magnetic moment is 1.52 μB per formula unit. For the calculated volume, the calculation gives 26.7 A^3/atom. The value obtained for the energy above the most stable polymorph in this dataset is 327 meV per atom. The formation energy without anion corrections comes out at -76.19 kJ/mol of atoms.

7.
This record from Alexandria via LeMat-Bulk describes a geometry-optimized CeZn4Pd15 structure. The functional is PBE.

Cell: 4.0621 4.0621 19.0251 Å, 90.00 90.00 90.00°
Sites, in units of the cell vectors:
Pd1 0.0000 0.5000 0.1098
Zn1 0.0000 0.0000 0.5972
Zn2 0.0000 0.0000 0.7892
Pd2 0.0000 0.5000 0.8902
Pd3 0.5000 0.5000 0.5959
Pd4 0.0000 0.5000 0.6929
Pd5 0.0000 0.5000 0.3071
Pd6 0.5000 0.0000 0.6929
Pd7 0.5000 0.5000 0.4041
Zn3 0.0000 0.0000 0.4028
Zn4 0.0000 0.0000 0.2108
Pd8 0.5000 0.0000 0.3071
Pd9 0.5000 0.5000 0.2084
Ce1 0.0000 0.0000 0.0000
Pd10 0.5000 0.5000 0.7916
Pd11 0.5000 0.0000 0.1098
Pd12 0.5000 0.0000 0.5000
Pd13 0.5000 0.0000 0.8902
Pd14 0.5000 0.5000 0.0000
Pd15 0.0000 0.5000 0.5000

The magnetic moment is 0.00 μB per formula unit. For the calculated volume, the calculation gives 15.7 A^3/atom. For the formation energy, the calculation gives -405 meV per atom.

8.
This record from Alexandria via LeMat-Bulk describes a geometry-optimized Y2C structure. The functional is PBE.

Cell: 12.2483 12.2483 3.5249 Å, 90.00 90.00 164.58°
Sites, in units of the cell vectors:
C1 0.8873 0.1127 0.7500
Y1 0.3150 0.6850 0.7500
Y2 0.5756 0.4244 0.7500
C2 0.1127 0.8873 0.2500
Y3 0.6850 0.3150 0.2500
Y4 0.4244 0.5756 0.2500

The magnetic moment is 0.00 μB per formula unit. For the calculated volume, the calculation gives 23.4 A^3/atom. For the formation energy, the calculation gives 143 meV per atom.

9.
This record from Alexandria via LeMat-Bulk describes a geometry-optimized Mg4Sc5Pt4 structure. The functional is PBE.

Cell: 4.4689 7.8782 7.8782 Å, 85.39 73.52 73.52°
Sites, in units of the cell vectors:
Mg1 0.8923 0.5104 0.7051
Sc1 0.6239 0.6800 0.0722
Mg2 0.4026 0.7051 0.4896
Mg3 0.5974 0.2949 0.5104
Pt1 0.9163 0.8442 0.3233
Pt2 0.0837 0.1558 0.6767
Sc2 0.3039 0.0722 0.3200
Pt3 0.2396 0.6767 0.8442
Sc3 0.0000 0.0000 0.0000
Mg4 0.1077 0.4896 0.2949
Sc4 0.3761 0.3200 0.9278
Pt4 0.7604 0.3233 0.1558
Sc5 0.6961 0.9278 0.6800

The magnetic moment is 0.00 μB per formula unit. For the calculated volume, the calculation gives 19.6 A^3/atom. For the formation energy, the calculation gives -843 meV per atom.

10.
This record from Alexandria via LeMat-Bulk describes a geometry-optimized SiSN structure. The functional is PBE.

Cell: 3.0240 5.6600 6.5851 Å, 66.87 88.36 87.81°
Sites, in units of the cell vectors:
S1 0.8075 0.6402 0.8071
Si1 0.2012 0.1988 0.0354
N1 0.2320 0.8686 0.1256
N2 0.7024 0.3128 0.8966
Si2 0.7403 0.6804 0.1268
S2 0.2056 0.3406 0.3037

The magnetic moment is 0.00 μB per formula unit. For the calculated volume, the calculation gives 17.3 A^3/atom. The value obtained for the energy above the most stable polymorph in this dataset is 103 meV per atom. The formation energy without anion corrections comes out at -37.81 kJ/mol of atoms.

11.
This record from Alexandria via LeMat-Bulk describes a geometry-optimized BaAc2Pr structure. The functional is PBE.

Cell: 3.9220 3.9220 14.0980 Å, 82.00 82.00 60.00°
Sites, in units of the cell vectors:
Ba1 0.0000 0.0000 0.0000
Pr1 0.5000 0.5000 0.5000
Ac1 0.0931 0.0931 0.7208
Ac2 0.9069 0.9069 0.2792

The magnetic moment is 0.00 μB per formula unit. For the calculated volume, the calculation gives 46.3 A^3/atom. For the formation energy, the calculation gives 149 meV per atom. The value obtained for the energy above the most stable polymorph in this dataset is 96 meV per atom.

12.
This record from Alexandria via LeMat-Bulk describes a geometry-optimized Ti2O7 structure. The functional is PBE.

Cell: 6.0756 6.0952 11.5867 Å, 81.28 82.05 59.94°
Sites, in units of the cell vectors:
O1 0.3437 0.3245 0.5048
O2 0.7981 0.6743 0.0933
O3 0.2019 0.3257 0.9067
O4 0.0357 0.5444 0.3003
O5 0.5882 0.2199 0.9480
O6 0.6534 0.6547 0.0283
Ti1 0.3613 0.3635 0.3455
O7 0.4118 0.7801 0.0520
O8 0.6563 0.6755 0.4952
Ti2 0.6387 0.6365 0.6545
O9 0.5277 0.0474 0.2937
O10 0.9643 0.4556 0.6997
Ti3 0.6907 0.7036 0.3359
O11 0.4632 0.4642 0.7047
O12 0.5368 0.5358 0.2953
Ti4 0.3093 0.2964 0.6641
O13 0.3466 0.3453 0.9717
O14 0.4723 0.9526 0.7063

The magnetic moment is 0.00 μB per formula unit. For the calculated volume, the calculation gives 20.3 A^3/atom. The formation energy without anion corrections comes out at -177.53 kJ/mol of atoms.